Record 1
Density functional theory data (GGA-PBE) for BePb2Au2 after structural relaxation.

```
BePb2Au2
1.0
-2.949 2.949 3.566
2.949 -2.949 3.566
2.949 2.949 -3.566
Be Pb Au
1 2 2
Direct
0.000 0.000 0.000
0.250 0.750 0.500
0.750 0.250 0.500
0.307 0.307 0.000
0.693 0.693 0.000
```

Properties
Formation enthalpy at 0 K ... 1.0 eV per formula unit
Polymorph energy (0 for the lowest one) ... 92.8 meV per atom
Crystal system ... tetragonal
Final energy ... -3.349 eV per atom

Record 2
Density functional theory data (GGA-PBE) for LiHoBr4 after structural relaxation.

```
LiHoBr4
1.0
6.979 0.000 0.000
0.000 4.083 0.000
-0.576 0.000 6.976
Li Ho Br
1 1 4
Direct
0.000 0.000 0.000
0.000 0.500 0.500
0.209 0.500 0.183
0.234 0.000 0.675
0.766 0.000 0.325
0.791 0.500 0.817
```

Properties
Polymorph energy (0 for the lowest one) ... 0.0 meV per atom
ΔE_f (raw) ... -10.48 eV/f.u.
Crystal system ... monoclinic
Final energy ... -3.944 eV per atom

Record 3
Density functional theory data (GGA-PBE) for Na2Nd2IrO6 after structural relaxation.

```
Na2Nd2IrO6
1.0
2.962 -5.175 0.000
2.962 5.175 0.000
-1.362 0.000 5.760
Na Nd Ir O
2 2 1 6
Direct
0.134 0.866 0.000
0.866 0.134 0.000
0.339 0.661 0.500
0.661 0.339 0.500
0.000 0.000 0.500
0.032 0.335 0.690
0.244 0.244 0.292
0.335 0.032 0.690
0.665 0.968 0.310
0.756 0.756 0.708
0.968 0.665 0.310
```

Properties
ΔE_f (raw) ... -22.19 eV/f.u.
Crystal system ... monoclinic
Final energy ... -6.634 eV per atom

Record 4
Density functional theory data (GGA-PBE) for Ac6TePb2Se3 after structural relaxation.

```
Ac6TePb2Se3
1.0
10.113 -2.354 0.000
10.113 2.354 0.000
-1.915 0.000 9.054
Ac Te Pb Se
6 1 2 3
Direct
0.001 0.001 0.238
0.329 0.329 0.420
0.335 0.335 0.913
0.665 0.665 0.087
0.671 0.671 0.580
0.999 0.999 0.762
0.500 0.500 0.500
0.165 0.165 0.830
0.835 0.835 0.170
0.165 0.165 0.334
0.500 0.500 0.000
0.835 0.835 0.666
```

Properties
ΔE_f (raw) ... -16.44 eV/f.u.
Crystal system ... monoclinic
Final energy ... -5.175 eV per atom

Record 5
Density functional theory data (GGA-PBE) for LuPb2 after structural relaxation.

```
LuPb2
1.0
-1.983 1.983 5.458
1.983 -1.983 5.458
1.983 1.983 -5.458
Lu Pb
1 2
Direct
0.000 0.000 0.000
0.338 0.338 0.000
0.662 0.662 0.000
```

Properties
Formation enthalpy at 0 K ... -0.4 eV per formula unit
Crystal system ... tetragonal
Final energy ... -4.109 eV per atom

Record 6
Density functional theory data (GGA-PBE) for CuRu3S after structural relaxation.

```
CuRu3S
1.0
4.304 0.000 0.000
0.000 4.304 0.000
0.000 0.000 4.304
Cu Ru S
1 3 1
Direct
0.000 0.000 0.000
0.000 0.500 0.500
0.500 0.000 0.500
0.500 0.500 0.000
0.500 0.500 0.500
```

Properties
Polymorph energy (0 for the lowest one) ... 0.0 meV per atom
ΔE_f (raw) ... 3.13 eV/f.u.
Crystal system ... cubic
Final energy ... -6.584 eV per atom